Record 1
Material: Tb3Ag2Au8
Method: DFT, PBE
State: optimized geometry

Calculated values
N(E_F) ... 6.08 states/eV/cell
Energy relative to the elements ... -0.35 eV/atom
Total magnetic moment ... 0.00 Bohr magnetons per cell

```
Tb3Ag2Au8
1.0
2.7117 1.5656 11.9013
-2.7117 1.5656 11.9013
0.0000 -3.1312 11.9013
Tb Ag Au
3 2 8
Direct
0.0000 0.0000 0.0000
0.2394 0.2394 0.2394
0.7606 0.7606 0.7606
0.3946 0.3946 0.3946
0.6054 0.6054 0.6054
0.1996 0.7042 0.7042
0.2958 0.2958 0.8004
0.2958 0.8004 0.2958
0.3186 0.3186 0.3186
0.6814 0.6814 0.6814
0.7042 0.1996 0.7042
0.7042 0.7042 0.1996
0.8004 0.2958 0.2958
```

***

Record 2
Material: Tb4Ag3Au
Method: DFT, PBE
State: optimized geometry

Calculated values
N(E_F) ... 5.42 states/eV/cell
Energy relative to the elements ... -0.45 eV/atom
Total magnetic moment ... 0.00 Bohr magnetons per cell

```
Tb4Ag3Au
1.0
3.6330 0.0000 0.0000
0.0000 3.6330 0.0000
0.0000 0.0000 14.6282
Tb Ag Au
4 3 1
Direct
0.0000 0.0000 0.1214
0.0000 0.0000 0.3739
0.0000 0.0000 0.6261
0.0000 0.0000 0.8786
0.5000 0.5000 0.2501
0.5000 0.5000 0.5000
0.5000 0.5000 0.7499
0.5000 0.5000 0.0000
```

***

Record 3
Material: Tb3Ag2Au3
Method: DFT, PBE
State: optimized geometry

Calculated values
N(E_F) ... 4.68 states/eV/cell
Energy relative to the elements ... -0.57 eV/atom
Total magnetic moment ... 0.00 Bohr magnetons per cell

```
Tb3Ag2Au3
1.0
7.3991 0.0000 0.0000
-3.6995 6.4078 0.0000
0.0000 0.0000 3.8838
Tb Ag Au
3 2 3
Direct
0.0000 0.3603 0.0000
0.3603 0.0000 0.0000
0.6397 0.6397 0.0000
0.3333 0.6667 0.5000
0.6667 0.3333 0.5000
0.0000 0.7534 0.5000
0.2466 0.2466 0.5000
0.7534 0.0000 0.5000
```

***

Record 4
Material: TbAg5Au8
Method: DFT, PBE
State: optimized geometry

Calculated values
N(E_F) ... 4.28 states/eV/cell
Energy relative to the elements ... -0.09 eV/atom
Total magnetic moment ... 0.00 Bohr magnetons per cell

```
TbAg5Au8
1.0
-4.0342 4.0342 4.3099
4.0342 -4.0342 4.3099
4.0342 4.0342 -4.3099
Tb Ag Au
1 5 8
Direct
0.0000 0.0000 0.0000
0.1974 0.6209 0.1556
0.3791 0.5346 0.5765
0.4654 0.0419 0.8444
0.7500 0.2500 0.5000
0.9581 0.8026 0.4235
0.1194 0.6680 0.7632
0.1724 0.2671 0.7735
0.3320 0.0952 0.4515
0.4936 0.3989 0.2265
0.6011 0.8276 0.0948
0.6438 0.8806 0.5485
0.7329 0.5064 0.9052
0.9048 0.3562 0.2368
```

***

Record 5
Material: TbAg2Au9
Method: DFT, PBE
State: optimized geometry

Calculated values
N(E_F) ... 4.87 states/eV/cell
Energy relative to the elements ... -0.15 eV/atom
Total magnetic moment ... 0.00 Bohr magnetons per cell

```
TbAg2Au9
1.0
2.7456 1.5852 9.2880
-2.7456 1.5852 9.2880
0.0000 -3.1703 9.2880
Tb Ag Au
1 2 9
Direct
0.0000 0.0000 0.0000
0.1500 0.1500 0.1500
0.8500 0.8500 0.8500
0.0827 0.5872 0.5872
0.3331 0.3331 0.3331
0.4128 0.4128 0.9173
0.4128 0.9173 0.4128
0.5000 0.5000 0.5000
0.5872 0.0827 0.5872
0.5872 0.5872 0.0827
0.6669 0.6669 0.6669
0.9173 0.4128 0.4128
```

***

Record 6
Material: TbAgAu
Method: DFT, PBE
State: optimized geometry

Calculated values
N(E_F) ... 2.20 states/eV/cell
Energy relative to the elements ... -0.61 eV/atom
Total magnetic moment ... 0.00 Bohr magnetons per cell

```
TbAgAu
1.0
3.7578 0.0000 0.0000
0.0000 3.7578 0.0000
0.0000 0.0000 9.1741
Tb Ag Au
2 2 2
Direct
0.0000 0.0000 0.0000
0.5000 0.5000 0.5000
0.0000 0.0000 0.6733
0.5000 0.5000 0.1733
0.0000 0.0000 0.3397
0.5000 0.5000 0.8397
```

***

Record 7
Material: Tb2AgAu
Method: DFT, PBE
State: optimized geometry

Calculated values
N(E_F) ... 9.89 states/eV/cell
Energy relative to the elements ... -0.58 eV/atom
Total magnetic moment ... 0.00 Bohr magnetons per cell

```
Tb2AgAu
1.0
7.2591 0.0000 0.0000
0.0000 7.2591 0.0000
0.0000 0.0000 7.2591
Tb Ag Au
8 4 4
Direct
0.2500 0.2500 0.2500
0.2500 0.2500 0.7500
0.2500 0.7500 0.2500
0.2500 0.7500 0.7500
0.7500 0.2500 0.2500
0.7500 0.2500 0.7500
0.7500 0.7500 0.2500
0.7500 0.7500 0.7500
0.0000 0.0000 0.0000
0.0000 0.5000 0.5000
0.5000 0.0000 0.5000
0.5000 0.5000 0.0000
0.0000 0.0000 0.5000
0.0000 0.5000 0.0000
0.5000 0.0000 0.0000
0.5000 0.5000 0.5000
```

***

Record 8
Material: Tb2Ag2Au
Method: DFT, PBE
State: optimized geometry

Calculated values
N(E_F) ... 6.71 states/eV/cell
Energy relative to the elements ... -0.39 eV/atom
Total magnetic moment ... 0.00 Bohr magnetons per cell

```
Tb2Ag2Au
1.0
10.8181 0.0000 0.0000
0.0000 4.0986 0.0000
-4.2450 0.0000 5.3035
Tb Ag Au
4 4 2
Direct
0.2250 0.0000 0.2255
0.2750 0.5000 0.7745
0.7250 0.5000 0.2255
0.7750 0.0000 0.7745
0.9996 0.5000 0.2026
0.0004 0.5000 0.7974
0.4996 0.0000 0.2026
0.5004 0.0000 0.7974
0.0000 0.0000 0.5000
0.5000 0.5000 0.5000
```

***

Record 9
Material: TbAgAu4
Method: DFT, PBE
State: optimized geometry

Calculated values
N(E_F) ... 1.34 states/eV/cell
Energy relative to the elements ... -0.41 eV/atom
Total magnetic moment ... 0.00 Bohr magnetons per cell

```
TbAgAu4
1.0
3.6011 0.0000 0.0000
0.0000 3.7216 0.0000
-0.0378 0.0000 8.9326
Tb Ag Au
1 1 4
Direct
0.0000 0.0000 0.0000
0.5000 0.5000 0.5000
0.0019 0.0000 0.3388
0.4985 0.5000 0.8225
0.5015 0.5000 0.1775
0.9981 0.0000 0.6612
```

***

Record 10
Material: Tb2AgAu
Method: DFT, PBE
State: optimized geometry

Calculated values
N(E_F) ... 2.56 states/eV/cell
Energy relative to the elements ... -0.59 eV/atom
Total magnetic moment ... 0.00 Bohr magnetons per cell

```
Tb2AgAu
1.0
3.6182 0.0000 0.0000
0.0000 3.6182 0.0000
0.0000 0.0000 7.3109
Tb Ag Au
2 1 1
Direct
0.0000 0.0000 0.2447
0.0000 0.0000 0.7553
0.5000 0.5000 0.5000
0.5000 0.5000 0.0000
```

***

Record 11
Material: Tb6AgAu5
Method: DFT, PBE
State: optimized geometry

Calculated values
N(E_F) ... 6.17 states/eV/cell
Energy relative to the elements ... -0.77 eV/atom
Total magnetic moment ... 0.00 Bohr magnetons per cell

```
Tb6AgAu5
1.0
-2.5507 3.6215 7.7062
2.5507 -3.6215 7.7062
2.5507 3.6215 -7.7062
Tb Ag Au
6 1 5
Direct
0.0799 0.3317 0.7482
0.2455 0.0000 0.2455
0.4164 0.6683 0.7482
0.5836 0.3317 0.2518
0.7545 0.0000 0.7545
0.9201 0.6683 0.2518
0.5000 0.5000 0.0000
0.0000 0.5000 0.5000
0.1684 0.1684 0.0000
0.3411 0.8411 0.5000
0.6589 0.1589 0.5000
0.8316 0.8316 0.0000
```

***

Record 12
Material: TbAg2Au2
Method: DFT, PBE
State: optimized geometry

Calculated values
N(E_F) ... 5.58 states/eV/cell
Energy relative to the elements ... -0.24 eV/atom
Total magnetic moment ... 0.00 Bohr magnetons per cell

```
TbAg2Au2
1.0
5.1797 0.0000 0.0000
0.0000 7.5162 0.0000
-0.0123 0.0000 5.6074
Tb Ag Au
2 4 4
Direct
0.0000 0.0000 0.0000
0.5000 0.5000 0.0000
0.0000 0.1782 0.5000
0.0000 0.8218 0.5000
0.5000 0.3218 0.5000
0.5000 0.6782 0.5000
0.0005 0.5000 0.2480
0.4995 0.0000 0.7520
0.5005 0.0000 0.2480
0.9995 0.5000 0.7520
```